NaTi3H (PBE, relaxed); space-group type = No. 221; electronic total energy = -17.1 eV per cell; relative energy among the computed polymorphs = 1874 meV per atom; magnetic moment = 3.39 Bohr magnetons per cell
1.0
4.8270 0.0000 0.0000
0.0000 4.8270 0.0000
0.0000 0.0000 4.8270
Na Ti H
1 3 1
Direct
0.0000 0.0000 0.0000
0.0000 0.0000 0.5000
0.0000 0.5000 0.0000
0.5000 0.0000 0.0000
0.5000 0.5000 0.5000